Record 1
This record from OQMD describes a relaxed LaNdNi2Bi4 crystal. The functional is PBE.

```
LaNdNi2Bi4
1.0
4.599 0.000 0.000
0.000 4.599 0.000
0.000 0.000 9.815
La Nd Ni Bi
1 1 2 4
Direct
0.000 0.000 0.000
0.500 0.500 0.543
0.000 0.500 0.769
0.500 0.000 0.769
0.000 0.000 0.628
0.000 0.500 0.275
0.500 0.000 0.275
0.500 0.500 0.908
```

Summary:
As for the symmetry: P4mm (99). For the calculated volume, the calculation gives 25.95 Å³/atom. The calculation puts the total DFT energy (no corrections) at -5.1741 eV/atom.

Record 2
This record from OQMD describes a relaxed LaNdBi2O2 crystal. The functional is PBE.

```
LaNdBi2O2
1.0
4.160 0.000 0.000
0.000 4.160 0.000
0.000 0.000 8.302
La Nd Bi O
1 1 2 2
Direct
0.000 0.000 0.000
0.500 0.500 0.320
0.000 0.500 0.652
0.500 0.000 0.652
0.000 0.000 0.257
0.500 0.500 0.057
```

Summary:
As for the symmetry: P4mm (99). For the calculated volume, the calculation gives 23.95 Å³/atom. The calculation puts the total DFT energy (no corrections) at -6.2698 eV/atom.